This record from the Alexandria database describes PuHfZn2 after structural relaxation. The functional is PBE.

Lattice parameters (Å, degrees): 3.0584 3.0584 8.3556 90.00 90.00 90.00
Closest atoms and distances in Å follow each position.
Space group P4/mmm (No. 123)
Symmetry-distinct sites (fractional):
Pu1 0.0000 0.0000 0.0000 x1  4 Pu 3.06, 8 Zn 3.13
Hf1 0.0000 0.0000 0.5000 x1  8 Zn 2.89, 4 Hf 3.06
Zn1 0.5000 0.5000 0.2704 x2  4 Hf 2.89, 4 Zn 3.06, 4 Pu 3.13

## Properties
**Density of states at the Fermi level**: 1.4841 states/eV/atom
**Mass density**: 11.8 g/cm3
**Distance to the lowest polymorph of the same formula**: 0 meV per atom
**Total magnetic moment**: 1.415 μB/atom